Entry 1:
MgInO (PBE, optimized geometry); symmetry = P4/mmm (123); uncorrected formation energy = -1435 meV per atom; energy above the most stable polymorph in this dataset = 155.8 meV/atom; total energy = -4.53 eV per atom
1.0
2.9250 0.0000 0.0000
0.0000 2.9250 0.0000
0.0000 0.0000 6.0867
Mg In O
1 1 1
Direct
0.0000 0.0000 0.0000
0.5000 0.5000 0.5000
0.5000 0.5000 0.0000

Entry 2:
MgInO (PBE, optimized geometry); symmetry = Pmn2_1 (31); uncorrected formation energy = -1455 meV per atom; energy above the most stable polymorph in this dataset = 136.1 meV/atom; total energy = -4.55 eV per atom
1.0
3.3471 0.0000 0.0000
0.0000 5.8160 0.0000
0.0000 0.0000 5.6432
Mg In O
2 2 2
Direct
0.0000 0.0013 0.0000
0.5000 0.9987 0.5000
0.0000 0.4992 0.3396
0.5000 0.5008 0.8396
0.0000 0.0823 0.3381
0.5000 0.9177 0.8381

Entry 3:
Mg2InOsO (PBE, optimized geometry); symmetry = P4/mmm (123); uncorrected formation energy = 1089 meV per atom; total energy = -3.33 eV per atom
1.0
5.4747 0.0000 0.0000
0.0000 5.4747 0.0000
0.0000 0.0000 3.9161
Mg In Os O
2 1 1 1
Direct
0.0000 0.5000 0.0000
0.5000 0.0000 0.0000
0.0000 0.0000 0.0000
0.5000 0.5000 0.5000
0.0000 0.0000 0.5000

Entry 4:
Mg2InOsO6 (PBE, optimized geometry); symmetry = R3 (146); uncorrected formation energy = -1771 meV per atom; total energy = -6.46 eV per atom
1.0
2.6414 1.5250 4.7419
-2.6414 1.5250 4.7419
0.0000 -3.0500 4.7419
Mg In Os O
2 1 1 6
Direct
0.0000 0.0000 0.0000
0.4935 0.4935 0.4935
0.2838 0.2838 0.2838
0.7956 0.7956 0.7956
0.0654 0.4151 0.7010
0.1835 0.8761 0.6031
0.4151 0.7010 0.0654
0.6031 0.1835 0.8761
0.7010 0.0654 0.4151
0.8761 0.6031 0.1835

Entry 5:
MgInOsO6 (PBE, optimized geometry); symmetry = P-31c (163); uncorrected formation energy = -1454 meV per atom; total energy = -6.49 eV per atom
1.0
5.1719 0.0000 0.0000
-2.5860 4.4790 0.0000
0.0000 0.0000 9.1858
Mg In Os O
2 2 2 12
Direct
0.3333 0.6667 0.2500
0.6667 0.3333 0.7500
0.0000 0.0000 0.0000
0.0000 0.0000 0.5000
0.3333 0.6667 0.7500
0.6667 0.3333 0.2500
0.0233 0.3668 0.6340
0.0233 0.6565 0.8660
0.3435 0.3668 0.8660
0.3435 0.9767 0.6340
0.3668 0.0233 0.1340
0.3668 0.3435 0.3660
0.6332 0.6565 0.6340
0.6332 0.9767 0.8660
0.6565 0.0233 0.3660
0.6565 0.6332 0.1340
0.9767 0.3435 0.1340
0.9767 0.6332 0.3660

Entry 6:
Mg2InOsO8 (PBE, optimized geometry); symmetry = Cmmm (65); uncorrected formation energy = -1443 meV per atom; total energy = -6.18 eV per atom
1.0
3.2825 -3.3967 0.0000
3.2825 3.3967 0.0000
0.0000 0.0000 6.4680
Mg In Os O
2 1 1 8
Direct
0.0000 0.0000 0.2468
0.0000 0.0000 0.7532
0.5000 0.5000 0.5000
0.5000 0.5000 0.0000
0.1914 0.1914 0.5000
0.2145 0.2145 0.0000
0.3078 0.6922 0.2081
0.3078 0.6922 0.7919
0.6922 0.3078 0.2081
0.6922 0.3078 0.7919
0.7855 0.7855 0.0000
0.8086 0.8086 0.5000